# PBE+U YbCr2O2, relaxed
# * offset from the most stable computed form: 27.5 kJ/mol of atoms
# * density of states at the Fermi level: 10.15 states/eV/f.u.
# * electronic total energy: -6.11 eV per atom
data_YbCr2O2
_space_group_name_H-M_alt 'I 41/a m d'
_space_group_IT_number 141
_cell_length_a 8.617
_cell_length_b 8.617
_cell_length_c 9.938
_cell_angle_alpha 90.00
_cell_angle_beta 90.00
_cell_angle_gamma 90.00
loop_
_space_group_symop_operation_xyz
'x,y,z'
'-x,-y,-z'
'-y+1/4,x+3/4,z+1/4'
'y+1/4,-x+3/4,-z+1/4'
'-x+1/2,-y,z+1/2'
'x+1/2,y,-z+1/2'
'y+1/4,-x+1/4,z+3/4'
'-y+1/4,x+1/4,-z+3/4'
'x,-y,-z'
'-x,y,z'
'-y+1/4,-x+1/4,-z+3/4'
'y+1/4,x+1/4,z+3/4'
'-x+1/2,y,-z+1/2'
'x+1/2,-y,z+1/2'
'y+1/4,x+3/4,-z+1/4'
'-y+1/4,-x+3/4,z+1/4'
'x+1/2,y+1/2,z+1/2'
'-x+1/2,-y+1/2,-z+1/2'
'-y+3/4,x+1/4,z+3/4'
'y+3/4,-x+1/4,-z+3/4'
'-x,-y+1/2,z'
'x,y+1/2,-z'
'y+3/4,-x+3/4,z+1/4'
'-y+3/4,x+3/4,-z+1/4'
'x+1/2,-y+1/2,-z+1/2'
'-x+1/2,y+1/2,z+1/2'
'-y+3/4,-x+3/4,-z+1/4'
'y+3/4,x+3/4,z+1/4'
'-x,y+1/2,-z'
'x,-y+1/2,z'
'y+3/4,x+1/4,-z+3/4'
'-y+3/4,-x+1/4,z+3/4'
loop_
_atom_site_label
_atom_site_fract_x
_atom_site_fract_y
_atom_site_fract_z
Yb1 0.000 0.000 0.000
Cr1 0.000 0.058 0.633
O1 0.000 0.086 0.208